First-principles (GGA+U) data for crystalline LiScMn2O4 at its relaxed geometry, as listed in the Alexandria database.

Cell lengths 5.250, 3.117, 5.319 Å; angles 90.00, 107.73, 90.00 degrees
Space group P2/m (No. 10)
Symmetry-distinct sites (fractional):
Li 0.000 0.000 0.000
Sc 0.000 0.500 0.500
Mn 0.500 0.000 0.500
Mn 0.500 0.500 0.000
O 0.231 0.000 0.741
O 0.264 0.500 0.268

Properties
DFT total energy = -58.893 eV for the cell shown
V = 10.4 Å³ per atom
calculated density = 4.52 g/cm³